VASP calculation (PBE with a Hubbard U) on crystalline NaCrO2 at its relaxed geometry.

Lattice parameters (Å, degrees): 3.016 3.016 5.575 90.00 90.00 120.00
Atoms (fractional coordinates):
Na: 0.000 0.000 0.000
Cr: 0.000 0.000 0.500
O: 0.333 0.667 0.695
O: 0.667 0.333 0.305

Summary:
- DFT total energy (eV per atom) = -6.55